VASP calculation (GGA-PBE) on crystalline AcGaSnRh3 at its relaxed geometry.

Properties
The calculation puts the total moment at 0.0 μB/f.u. The value obtained for the density of states at the Fermi level is 6.76 states/eV/cell. The value obtained for the total energy is -6.021 eV/atom.

Cell lengths 5.8253, 5.8837, 8.5742 Å; angles 110.07, 90.00, 90.00 degrees
Closest atoms and distances in Å follow each position.
Positions (direct):
Rh (0.5000, 0.2657, 0.0000)  2 Ga 2.50, 2 Sn 2.61, 1 Rh 2.76
Rh (0.0000, 0.2657, 0.0000)  2 Ga 2.50, 2 Sn 2.61, 1 Rh 2.76
Sn (0.2500, 0.0934, 0.1869)  5 Rh 2.60-2.61
Ga (0.7500, 0.5928, 0.1857)  5 Rh 2.45-2.50
Rh (0.7500, 0.7452, 0.4903)  1 Ga 2.45, 1 Sn 2.60
Sn (0.7500, 0.9066, 0.8131)  5 Rh 2.60-2.61
Rh (0.0000, 0.7343, 0.0000)  2 Ga 2.50, 2 Sn 2.61, 1 Rh 2.76
Rh (0.2500, 0.2548, 0.5097)  1 Ga 2.45, 1 Sn 2.60
Ac (0.2500, 0.7357, 0.4714)  4 Rh 2.92-2.96
Ac (0.7500, 0.2643, 0.5286)  4 Rh 2.92-2.96
Ga (0.2500, 0.4072, 0.8143)  5 Rh 2.45-2.50
Rh (0.5000, 0.7343, 0.0000)  2 Ga 2.50, 2 Sn 2.61, 1 Rh 2.76